# Ba2CaLa PBE optimized geometry
# - E_form: 0.133 eV per atom
# - Electronic total energy: -2.56 eV/atom
# - Energy relative to the lowest polymorph listed for this composition: 32 meV/atom
# - SG: Pm, No. 6
data_Ba2CaLa
_chemical_formula_sum 'Ba2 Ca1 La1'
_symmetry_space_group_name_H-M 'P 1'
_symmetry_Int_Tables_number 1
_cell_length_a 3.946
_cell_length_b 6.516
_cell_length_c 7.694
_cell_angle_alpha 90.00
_cell_angle_beta 100.23
_cell_angle_gamma 90.00
loop_
_symmetry_equiv_pos_as_xyz
'x,y,z'
loop_
_atom_site_label
_atom_site_fract_x
_atom_site_fract_y
_atom_site_fract_z
Ba1 0.000 0.000 0.000
Ba2 0.210 0.500 0.720
Ca1 0.732 0.500 0.243
La1 0.496 0.000 0.480